A geometry-optimized LiPm2Si3Au12 structure. Source: Alexandria via LeMat-Bulk, functional GGA-PBE.

E_form (uncorrected)	-0.17	eV per atom

abc: 8.9451 8.9451 17.4276
angles: 90.00 90.00 120.00
Space group R-3m (No. 166, hexagonal axes)
Unique sites:
Li 0.0000 0.0000 0.0000 x3
Pm 0.0000 0.0000 0.3948 x6
Si 0.0000 0.5000 0.5000 x9
Au 0.0099 0.5050 0.3599 x18
Au 0.0264 0.5132 0.8191 x18

***

A geometry-optimized LiPm2Si4Au3 structure. Source: Alexandria via LeMat-Bulk, functional GGA-PBE.

E_form (uncorrected)	-0.57	eV per atom

abc: 4.2445 4.2445 10.5584
angles: 90.00 90.00 90.00
Space group P-4m2 (No. 115)
Unique sites:
Li 0.0000 0.0000 0.0000 x1
Pm 0.0000 0.5000 0.7553 x2
Si 0.0000 0.0000 0.5000 x1
Si 0.0000 0.5000 0.1340 x2
Si 0.5000 0.5000 0.5000 x1
Au 0.0000 0.5000 0.3682 x2
Au 0.5000 0.5000 0.0000 x1

***

A geometry-optimized Li2PmSiAu4 structure. Source: Alexandria via LeMat-Bulk, functional GGA-PBE.

E_form (uncorrected)	-0.51	eV per atom

abc: 4.4509 4.4509 25.9594
angles: 90.00 90.00 120.00
Space group R-3m (No. 166, hexagonal axes)
Unique sites:
Li 0.0000 0.0000 0.2374 x6
Pm 0.0000 0.0000 0.0000 x3
Si 0.0000 0.0000 0.5000 x3
Au 0.0000 0.0000 0.1309 x6
Au 0.0000 0.0000 0.3994 x6

***

A geometry-optimized LiPmSi2Au5 structure. Source: Alexandria via LeMat-Bulk, functional GGA-PBE.

E_form (uncorrected)	-0.28	eV per atom

abc: 4.4745 4.4745 9.5841
angles: 90.00 90.00 90.00
Space group P4/mmm (No. 123)
Unique sites:
Li 0.0000 0.0000 0.0000 x1
Pm 0.0000 0.0000 0.5000 x1
Si 0.5000 0.5000 0.2545 x2
Au 0.0000 0.5000 0.1581 x4
Au 0.5000 0.5000 0.5000 x1

***

A geometry-optimized LiPmSiAu structure. Source: Alexandria via LeMat-Bulk, functional GGA-PBE.

E_form (uncorrected)	-0.50	eV per atom

abc: 6.9141 6.9141 6.9141
angles: 90.00 90.00 90.00
Space group F-43m (No. 216)
Unique sites:
Li 0.0000 0.0000 0.0000 x4
Pm 0.0000 0.0000 0.5000 x4
Si 0.2500 0.2500 0.7500 x4
Au 0.2500 0.2500 0.2500 x4

***

A geometry-optimized LiPmSm2Au4 structure. Source: Alexandria via LeMat-Bulk, functional GGA-PBE.

DFT formation energy	-0.729	eV per atom

abc: 5.1034 5.1034 24.9457
angles: 90.00 90.00 120.00
Space group R-3m (No. 166, hexagonal axes)
Unique sites:
Li 0.0000 0.0000 0.0000 x3
Pm 0.0000 0.0000 0.5000 x3
Sm 0.0000 0.0000 0.2577 x6
Au 0.0000 0.0000 0.1255 x6
Au 0.0000 0.0000 0.3788 x6

***

A geometry-optimized Li2PmSmAu4 structure. Source: Alexandria via LeMat-Bulk, functional GGA-PBE.

DFT formation energy	-0.678	eV per atom

abc: 5.0463 5.0463 23.3957
angles: 90.00 90.00 120.00
Space group R-3m (No. 166, hexagonal axes)
Unique sites:
Li 0.0000 0.0000 0.2501 x6
Pm 0.0000 0.0000 0.0000 x3
Sm 0.0000 0.0000 0.5000 x3
Au 0.0000 0.0000 0.1312 x6
Au 0.0000 0.0000 0.3697 x6

***

A geometry-optimized LiPm2SnAu6 structure. Source: Alexandria via LeMat-Bulk, functional GGA-PBE.

DFT formation energy	-0.564	eV per atom

abc: 5.2175 6.2954 7.4447
angles: 70.53 70.10 80.12
Space group P-1 (No. 2)
Unique sites:
Li 0.0000 0.0000 0.0000 x1
Pm 0.4694 0.6712 0.6824 x2
Sn 0.0000 0.0000 0.5000 x1
Au 0.0388 0.3666 0.6865 x2
Au 0.1758 0.3212 0.0777 x2
Au 0.4646 0.8698 0.2185 x2

***

A geometry-optimized Li2PmSnAu4 structure. Source: Alexandria via LeMat-Bulk, functional GGA-PBE.

DFT formation energy	-0.549	eV per atom

abc: 4.5916 4.5916 26.7546
angles: 90.00 90.00 120.00
Space group R-3m (No. 166, hexagonal axes)
Unique sites:
Li 0.0000 0.0000 0.2385 x6
Pm 0.0000 0.0000 0.0000 x3
Sn 0.0000 0.0000 0.5000 x3
Au 0.0000 0.0000 0.1194 x6
Au 0.0000 0.0000 0.3922 x6

***

A geometry-optimized SrLiPm2Au4 structure. Source: Alexandria via LeMat-Bulk, functional GGA-PBE.

DFT formation energy	-0.692	eV per atom

abc: 5.1044 5.1044 26.0069
angles: 90.00 90.00 120.00
Space group R-3m (No. 166, hexagonal axes)
Unique sites:
Sr 0.0000 0.0000 0.0000 x3
Li 0.0000 0.0000 0.5000 x3
Pm 0.0000 0.0000 0.2396 x6
Au 0.0000 0.0000 0.1238 x6
Au 0.0000 0.0000 0.3912 x6

***

A geometry-optimized LiTb2PmAu4 structure. Source: Alexandria via LeMat-Bulk, functional GGA-PBE.

DFT formation energy	-0.750	eV per atom

abc: 5.0283 5.0283 24.8510
angles: 90.00 90.00 120.00
Space group R-3m (No. 166, hexagonal axes)
Unique sites:
Li 0.0000 0.0000 0.0000 x3
Tb 0.0000 0.0000 0.2587 x6
Pm 0.0000 0.0000 0.5000 x3
Au 0.0000 0.0000 0.1176 x6
Au 0.0000 0.0000 0.3785 x6

***

A geometry-optimized LiPm2TlAu4 structure. Source: Alexandria via LeMat-Bulk, functional GGA-PBE.

DFT formation energy	-0.638	eV per atom

abc: 5.0734 5.0734 24.1248
angles: 90.00 90.00 120.00
Space group R-3m (No. 166, hexagonal axes)
Unique sites:
Li 0.0000 0.0000 0.0000 x3
Pm 0.0000 0.0000 0.2455 x6
Tl 0.0000 0.0000 0.5000 x3
Au 0.0000 0.0000 0.1151 x6
Au 0.0000 0.0000 0.3700 x6

***

no.,VASP energy (eV per atom)
1,-3.8940
2,-4.8646
3,-3.8969
4,-4.0493
5,-4.3382
6,-4.3809
7,-3.9791
8,-4.0726
9,-3.7602
10,-3.9675
11,-4.3791
12,-3.9992